(1)
! Ce3GaIr4, optimized geometry, DFT PBE; values from VASP
! * spin magnetization: 0.095 μB per atom
! * symmetry: Imm2 (44)
! * electronic total energy: -60.78 eV/cell
! * density of states at the Fermi level: 10.2 states/eV/cell
! * V: 19.80 A^3/atom
&SYSTEM
  ibrav = 0, nat = 8, ntyp = 3
/
ATOMIC_SPECIES
Ce 140.12 Ce.upf
Ga 69.72 Ga.upf
Ir 192.22 Ir.upf
ATOMIC_POSITIONS angstrom
Ce 0.108 -0.063 4.423
Ce 2.694 -1.571 4.034
Ce 0.437 3.100 1.629
Ga -2.496 1.455 3.686
Ir -4.425 2.580 4.798
Ir -1.080 0.630 1.804
Ir 1.815 0.535 1.680
Ir -2.805 3.397 2.075
CELL_PARAMETERS angstrom
6.153 -0.233 -0.395
-3.233 5.241 0.395
-2.972 -1.622 5.158

(2)
! YInAg, optimized geometry, DFT PBE; values from VASP
! * spin magnetization: 0.050 μB per atom
! * symmetry: I4mm (107)
! * electronic total energy: -12.91 eV/cell
! * density of states at the Fermi level: 2.0 states/eV/cell
! * V: 23.60 A^3/atom
&SYSTEM
  ibrav = 0, nat = 3, ntyp = 3
/
ATOMIC_SPECIES
Ag 107.87 Ag.upf
In 114.82 In.upf
Y 88.91 Y.upf
ATOMIC_POSITIONS angstrom
Ag -0.294 -3.408 -0.778
In -3.476 -1.881 -7.285
Y -1.924 -2.626 -4.112
CELL_PARAMETERS angstrom
-4.178 -0.566 -4.641
-1.021 -0.489 -6.167
-0.248 -3.430 -0.684

(3)
! ErInSb, optimized geometry, DFT PBE; values from VASP
! * spin magnetization: 0.000 μB per atom
! * symmetry: P1 (1)
! * ΔE_f (raw): -0.62 eV per atom
! * density of states at the Fermi level: 2.0 states/eV/cell
! * V: 27.51 A^3/atom
&SYSTEM
  ibrav = 0, nat = 6, ntyp = 3
/
ATOMIC_SPECIES
Sb 121.76 Sb.upf
Er 167.26 Er.upf
In 114.82 In.upf
ATOMIC_POSITIONS angstrom
Sb -3.788 -2.057 -0.966
Sb -2.390 0.644 -4.027
Er -3.639 -2.167 -4.027
Er -2.203 0.620 -7.086
In -3.358 -5.406 -2.230
In -3.500 -5.296 0.838
CELL_PARAMETERS angstrom
-2.635 1.171 -3.247
0.327 -0.129 -6.136
-3.888 -7.881 6.110

(4)
! Tm2Mg9Sc, optimized geometry, DFT PBE; values from VASP
! * spin magnetization: 0.000 μB per atom
! * symmetry: P4/mmm (123)
! * electronic total energy: -30.12 eV/cell
! * density of states at the Fermi level: 9.5 states/eV/cell
! * V: 24.20 A^3/atom
&SYSTEM
  ibrav = 0, nat = 12, ntyp = 3
/
ATOMIC_SPECIES
Tm 168.93 Tm.upf
Mg 24.30 Mg.upf
Sc 44.96 Sc.upf
ATOMIC_POSITIONS angstrom
Tm 1.315 -3.820 2.029
Tm 2.671 -7.760 4.121
Mg -1.788 -1.730 -2.099
Mg -0.470 -5.560 -0.065
Mg 0.880 -9.481 2.018
Mg -1.529 -2.630 0.946
Mg -0.176 -6.559 3.033
Mg 1.177 -10.488 5.120
Mg 1.021 -2.822 -1.068
Mg 2.374 -6.751 1.018
Mg 3.727 -10.680 3.105
Sc 0.000 0.000 0.000
CELL_PARAMETERS angstrom
-4.338 -1.538 -0.084
0.762 -1.922 -4.113
3.986 -11.580 6.150

(5)
! ZrAgHg, optimized geometry, DFT PBE; values from VASP
! * spin magnetization: 0.000 μB per atom
! * symmetry: I4mm (107)
! * electronic total energy: -11.86 eV/cell
! * density of states at the Fermi level: 2.2 states/eV/cell
! * V: 20.51 A^3/atom
&SYSTEM
  ibrav = 0, nat = 3, ntyp = 3
/
ATOMIC_SPECIES
Zr 91.22 Zr.upf
Hg 200.59 Hg.upf
Ag 107.87 Ag.upf
ATOMIC_POSITIONS angstrom
Zr -2.100 3.655 -3.016
Hg -3.161 4.404 -6.792
Ag -1.015 2.889 0.847
CELL_PARAMETERS angstrom
-0.681 3.180 -5.626
-3.571 1.995 -5.049
-1.013 2.887 0.857

(6)
! BePH4NO4, optimized geometry, DFT PBE; values from VASP
! * spin magnetization: 0.000 μB per atom
! * symmetry: Pna2_1 (33)
! * electronic total energy: -272.46 eV/cell
! * density of states at the Fermi level: 0.0 states/eV/cell
! * V: 8.68 A^3/atom
&SYSTEM
  ibrav = 0, nat = 44, ntyp = 5
/
ATOMIC_SPECIES
Be 9.01 Be.upf
H 1.01 H.upf
N 14.01 N.upf
O 16.00 O.upf
P 30.97 P.upf
ATOMIC_POSITIONS angstrom
Be -4.088 -1.661 -0.883
Be -1.406 -10.721 -1.032
Be -4.461 -6.708 0.203
Be -1.033 -5.675 -2.119
H -2.885 -4.523 2.127
H -3.322 -7.860 -4.287
H -1.373 -2.934 -2.288
H -4.834 -9.449 0.128
H -2.415 -3.328 0.954
H -3.671 -9.055 -3.073
H -2.934 -7.934 2.465
H -3.152 -4.449 -4.583
H -2.733 -4.908 0.512
H -4.192 -7.474 -2.917
H -1.865 -1.363 -2.020
H -5.060 -11.020 -0.385
H -1.342 -4.591 1.405
H -2.546 -7.792 -2.771
H -0.242 -1.752 -1.807
H -3.646 -10.631 0.441
N -2.327 -4.323 1.262
N -3.412 -8.060 -3.262
N -1.080 -1.931 -2.380
N -4.660 -10.451 0.381
O -5.714 -6.892 3.766
O 0.160 -5.490 -5.702
O -4.157 -5.441 -0.781
O -1.397 -6.942 -1.155
O -4.042 -5.022 3.381
O 1.245 -7.362 -4.373
O -2.178 -4.503 -2.064
O -0.619 -7.881 1.072
O 0.229 -10.665 -1.183
O -2.888 -1.718 0.238
O 0.399 -5.002 -1.676
O -3.058 -7.381 0.731
O -5.285 -6.064 1.446
O -0.923 -6.319 -3.606
O -4.228 -3.093 -1.638
O -1.979 -9.290 -0.522
P -5.391 -5.648 2.918
P -0.104 -6.735 -4.834
P -3.730 -4.512 -1.933
P -1.765 -7.871 0.017
CELL_PARAMETERS angstrom
-4.713 0.001 -1.614
2.009 -6.102 -5.874
-2.001 -6.282 5.842

(7)
! Ca2WAu, optimized geometry, DFT PBE; values from VASP
! * spin magnetization: 0.639 μB per atom
! * symmetry: I4/mmm (139)
! * offset from the most stable computed form: 6.69 kcal/mol of atoms
! * density of states at the Fermi level: 3.2 states/eV/cell
! * V: 23.14 A^3/atom
&SYSTEM
  ibrav = 0, nat = 4, ntyp = 3
/
ATOMIC_SPECIES
Ca 40.08 Ca.upf
Au 196.97 Au.upf
W 183.84 W.upf
ATOMIC_POSITIONS angstrom
Ca 0.000 0.000 0.000
Ca 1.798 -3.922 -0.224
Au 1.029 -2.033 2.197
W 2.999 -0.993 -0.200
CELL_PARAMETERS angstrom
-0.173 -4.962 2.173
3.768 -2.882 -2.622
0.433 4.817 2.446

> What is the formula in the seventh record?

Ca2WAu